Entry 1:
Crystalline Ac2TbSn3Pt4 at its relaxed geometry. Source: Alexandria, functional GGA-PBE.

a = 4.7171 Å, b = 4.7171 Å, c = 11.1008 Å
α = 90.00°, β = 90.00°, γ = 90.00°
Positions (direct):
1 Ac 0.0000 0.5000 0.2280
2 Ac 0.5000 0.0000 0.7720
3 Tb 0.0000 0.0000 0.5000
4 Sn 0.0000 0.5000 0.8793
5 Sn 0.5000 0.0000 0.1207
6 Sn 0.5000 0.5000 0.5000
7 Pt 0.0000 0.0000 0.0000
8 Pt 0.0000 0.5000 0.6411
9 Pt 0.5000 0.0000 0.3589
10 Pt 0.5000 0.5000 0.0000

## Properties
**Symmetry**: P-4m2 (115)
**Total moment**: 0.0 Bohr magnetons per cell
**Energy of formation from the pure elements**: -965 meV per atom
**Theoretical density**: 11.8 g/cm3
**Raw total energy**: -58.67 eV per cell

---

Entry 2:
Crystalline AcTbSnPt at its relaxed geometry. Source: Alexandria, functional GGA-PBE.

a = 7.6320 Å, b = 7.6320 Å, c = 7.6320 Å
α = 90.00°, β = 90.00°, γ = 90.00°
Positions (direct):
1 Ac 0.0000 0.0000 0.0000
2 Ac 0.0000 0.5000 0.5000
3 Ac 0.5000 0.0000 0.5000
4 Ac 0.5000 0.5000 0.0000
5 Tb 0.0000 0.0000 0.5000
6 Tb 0.0000 0.5000 0.0000
7 Tb 0.5000 0.0000 0.0000
8 Tb 0.5000 0.5000 0.5000
9 Sn 0.2500 0.2500 0.7500
10 Sn 0.2500 0.7500 0.2500
11 Sn 0.7500 0.2500 0.2500
12 Sn 0.7500 0.7500 0.7500
13 Pt 0.2500 0.2500 0.2500
14 Pt 0.2500 0.7500 0.7500
15 Pt 0.7500 0.2500 0.7500
16 Pt 0.7500 0.7500 0.2500

## Properties
**Symmetry**: F-43m (216)
**Total moment**: 0.0 Bohr magnetons per cell
**Energy of formation from the pure elements**: -737 meV per atom
**Theoretical density**: 10.5 g/cm3
**Raw total energy**: -86.92 eV per cell